VO2F after structural relaxation. Source: Alexandria via LeMat-Bulk, functional PBE with a Hubbard U.

Cell: 3.186 4.453 5.568 Å, 68.50 70.25 89.94°
Fractional positions:
O  0.393  0.898  0.120
O  0.985  0.439  0.965
V  0.981  0.073  0.972
F  0.191  0.131  0.619

Symmetry: P1, No. 1
Calculated volume in Å³ per atom: 17.1
N(E_F) in states/eV per atom: 0.00
Magnetization in μB/atom: 0.000
Energy in eV per atom: -6.761